Compound: DyCoAs2O8
Source: Alexandria
Functional: PBE+U
Structure: relaxed

The space group is I-4m2 (No. 119) and the conventional cell measures 7.009, 7.009 and 6.170 Å, with angles of 90.00, 90.00 and 90.00 degrees. The distinct sites, in fractional coordinates, are Dy at (0.000, 0.000, 0.000), Co at (0.000, 0.500, 0.750), As at (0.000, 0.000, 0.500), As at (0.000, 0.500, 0.250), O at (0.000, 0.187, 0.682) and O at (0.000, 0.324, 0.057).

For the energy, the calculation gives -6.468 eV per atom. The calculation puts the spin magnetization at 8.08 μB/cell. Its volume is 303 Å³ per cell.